Record 1
Below is crystalline Al7CoCu2 at its relaxed geometry, with properties calculated at the PBE-GGA level.

Calculated density: 4.24 Mg/m³
Space group: P4/mnc (128)
Energy of formation from the pure elements: -0.279 eV/atom

The structure in extended XYZ format:
```
40
Lattice="6.3101 0.0000 0.0000 0.0000 6.3101 0.0000 0.0000 0.0000 14.7565" Properties=species:S:1:pos:R:3 pbc="T T T"
Al 0.0000 0.0000 1.9465
Al 3.1551 3.1551 5.4317
Al 0.0000 0.0000 12.8100
Al 3.1551 3.1551 9.3248
Al 0.9782 4.1332 3.6891
Al 5.3320 2.1769 3.6891
Al 2.1769 0.9782 3.6891
Al 4.1332 5.3320 3.6891
Al 5.3320 2.1769 11.0674
Al 0.9782 4.1332 11.0674
Al 4.1332 5.3320 11.0674
Al 2.1769 0.9782 11.0674
Al 1.2892 2.6051 1.4752
Al 5.0210 3.7050 1.4752
Al 3.7050 1.2892 1.4752
Al 2.6051 5.0210 1.4752
Al 1.8659 5.7602 5.9030
Al 4.4442 0.5499 5.9030
Al 5.7602 4.4442 5.9030
Al 0.5499 1.8659 5.9030
Al 5.0210 3.7050 13.2813
Al 1.2892 2.6051 13.2813
Al 2.6051 5.0210 13.2813
Al 3.7050 1.2892 13.2813
Al 4.4442 0.5499 8.8535
Al 1.8659 5.7602 8.8535
Al 0.5499 1.8659 8.8535
Al 5.7602 4.4442 8.8535
Co 0.0000 0.0000 4.3981
Co 3.1551 3.1551 2.9801
Co 0.0000 0.0000 10.3584
Co 3.1551 3.1551 11.7764
Cu 1.7213 0.5732 0.0000
Cu 4.5888 5.7369 0.0000
Cu 5.7369 1.7213 0.0000
Cu 0.5732 4.5888 0.0000
Cu 1.4338 3.7283 7.3783
Cu 4.8764 2.5818 7.3783
Cu 3.7283 4.8764 7.3783
Cu 2.5818 1.4338 7.3783
```

---

Record 2
Below is crystalline BeAlF2 at its relaxed geometry, with properties calculated at the PBE-GGA level.

ΔE to the lowest computed polymorph: 46.4 kJ/mol of atoms
Calculated density: 1.91 Mg/m³
Space group: R-3m (166)
ΔE_f (raw): -1.530 eV per atom

The structure in extended XYZ format:
```
4
Lattice="-4.1301 4.4352 5.6596 -5.6949 1.8423 5.7389 -3.1560 2.1296 7.3665" Properties=species:S:1:pos:R:3 pbc="T T T"
Be 0.0000 0.0000 0.0000
Al -6.4905 4.2035 9.3825
F -12.2303 7.9209 17.6798
F -0.7507 0.4862 1.0852
```

---

Record 3
Below is crystalline LaInMo2 at its relaxed geometry, with properties calculated at the PBE-GGA level.

Calculated density: 8.98 Mg/m³
Space group: Immm (71)
Energy of formation from the pure elements: 0.656 eV/atom

The structure in extended XYZ format:
```
4
Lattice="-3.3755 3.7724 -2.2628 -3.7476 -2.3741 -3.3263 1.8311 0.2172 5.2293" Properties=species:S:1:pos:R:3 pbc="T T T"
In -2.5530 2.3444 0.0860
La -2.7391 -0.7289 -0.4458
Mo -0.0367 0.0072 -0.0288
Mo -3.5249 0.6920 -2.7658
```

---

Record 4
Below is crystalline Si3PbN at its relaxed geometry, with properties calculated at the PBE-GGA level.

ΔE to the lowest computed polymorph: 0.0 kJ/mol of atoms
Calculated density: 6.16 Mg/m³
Space group: Pm-3m (221)
ΔE_f (raw): 0.795 eV per atom

The structure in extended XYZ format:
```
5
Lattice="-2.7418 -2.0487 2.6839 3.0383 0.0112 3.1123 -1.4729 3.8368 1.4240" Properties=species:S:1:pos:R:3 pbc="T T T"
Pb -0.5882 0.8996 3.6101
Si 1.5192 0.0056 1.5562
Si -0.7364 1.9184 0.7120
Si -1.3709 -1.0243 1.3420
N 0.0000 0.0000 0.0000
```

---

Record 5
Below is crystalline LuHfBe at its relaxed geometry, with properties calculated at the PBE-GGA level.

Calculated density: 10.20 Mg/m³
Space group: I4mm (107)
Energy of formation from the pure elements: 0.069 eV/atom

The structure in extended XYZ format:
```
3
Lattice="-2.2950 -1.8466 -1.2335 2.0376 -2.4563 -0.1138 -1.4704 0.5781 6.0044" Properties=species:S:1:pos:R:3 pbc="T T T"
Be -0.6944 -2.7081 1.2123
Lu -0.0500 -0.0492 0.1666
Hf -0.9834 -0.9676 3.2783
```

---

Record 6
Below is crystalline Hf4ZnNi2 at its relaxed geometry, with properties calculated at the PBE-GGA level.

Calculated density: 11.10 Mg/m³
Space group: R-3m (166)
Energy of formation from the pure elements: -0.053 eV/atom

The structure in extended XYZ format:
```
7
Lattice="4.3327 0.0000 0.0000 2.1664 3.7522 0.0000 2.1664 1.2507 8.2497" Properties=species:S:1:pos:R:3 pbc="T T T"
Hf 4.3327 2.5015 7.0670
Hf 2.1664 1.2507 3.1826
Hf 6.4991 3.7522 5.0672
Hf 4.3327 2.5015 1.1828
Zn 0.0000 0.0000 0.0000
Ni 2.1664 1.2507 5.7624
Ni 6.4991 3.7522 2.4873
```

---

Record 7
Below is crystalline Pm2MgPbC at its relaxed geometry, with properties calculated at the PBE-GGA level.

Calculated density: 7.50 Mg/m³
Space group: P4/mmm (123)
Energy of formation from the pure elements: -0.343 eV/atom

The structure in extended XYZ format:
```
5
Lattice="-1.2910 -4.2851 -0.1836 4.1304 -1.3615 2.7326 -2.6700 0.6184 4.3439" Properties=species:S:1:pos:R:3 pbc="T T T"
Pm -1.3350 0.3092 2.1719
Pm 2.0652 -0.6807 1.3663
Mg -0.6455 -2.1425 -0.0918
Pb 0.0847 -2.5141 3.4465
C 0.0000 0.0000 0.0000
```

---

Record 8
Below is crystalline RbGe2Au5 at its relaxed geometry, with properties calculated at the PBE-GGA level.

Calculated density: 11.28 Mg/m³
Space group: Immm (71)
Energy of formation from the pure elements: -0.099 eV/atom

The structure in extended XYZ format:
```
8
Lattice="4.6452 0.0000 0.0000 2.3226 6.4194 0.1951 2.3226 2.1174 6.0633" Properties=species:S:1:pos:R:3 pbc="T T T"
Rb 0.0000 0.0000 0.0000
Ge 6.9678 6.3260 4.6376
Ge 2.3226 2.2108 1.6208
Au 2.3226 4.2684 3.1292
Au 4.6452 3.8460 1.0875
Au 4.6452 4.6909 5.1709
Au 4.6452 6.3426 2.9178
Au 4.6452 2.1942 3.3406
```